A) NaSiTe2N meta-GGA SCAN PBEsol geometry; symmetry = No. 123; volume = 124 Å³ per cell
1.0
-3.855 -0.612 1.450
-1.624 -1.548 -4.970
1.270 -5.166 1.194
Si Te N Na
1 2 1 1
Direct
0.500 0.500 0.500 Si
0.000 0.000 0.500 Te
0.000 0.500 0.000 Te
0.500 0.000 0.000 N
0.000 0.000 0.000 Na

B) NaSiTe2N meta-GGA SCAN PBEsol geometry; symmetry = No. 123; volume = 107 Å³ per cell
1.0
-1.005 -1.313 2.829
5.448 -0.813 1.558
0.078 5.181 2.433
Si Na Te N
1 1 2 1
Direct
0.000 0.000 0.000 Si
0.500 0.500 0.500 Na
0.000 0.500 0.000 Te
0.000 0.000 0.500 Te
0.500 0.000 0.000 N

Which of them is most stable, and which least? Most stable: B); least stable: A).